A relaxed structure of Rb2Mg2PaO6. Source: the Alexandria database, functional PBE.

Unit cell a=6.2705 b=6.2705 c=7.1528 alpha=64.00 beta=64.00 gamma=60.00
Closest atoms and distances in Å follow each position.
Positions (direct):
Rb 0.7952 0.7952 0.6144  9 O 3.01-3.31
Rb 0.2048 0.2048 0.3856  9 O 3.01-3.31
Mg 0.4023 0.4023 0.7932  3 O 1.90
Mg 0.5977 0.5977 0.2068  3 O 1.90
Pa 0.0000 0.0000 0.0000  6 O 2.17
O 0.7697 0.7697 0.2145  1 Mg 1.90
O 0.2461 0.7697 0.2145  1 Mg 1.90
O 0.7697 0.2461 0.2145  1 Mg 1.90
O 0.2303 0.7539 0.7855  1 Mg 1.90
O 0.7539 0.2303 0.7855  1 Mg 1.90
O 0.2303 0.2303 0.7855  1 Mg 1.90

Output
**Space-group type**: R-3m (166)
**Formation energy (no corrections)**: -25.68 eV/f.u.


A relaxed structure of Sm3HoSc. Source: the Alexandria database, functional PBE.

Unit cell a=3.5125 b=10.6207 c=17.3320 alpha=90.00 beta=90.00 gamma=90.00
Closest atoms and distances in Å follow each position.
Positions (direct):
Sm 0.7489 0.5000 0.7500  4 Sc 3.21, 6 Sm 3.51-3.53
Sm 0.2511 0.0000 0.2500  4 Sc 3.21, 6 Sm 3.51-3.53
Sm 0.2511 0.5000 0.2500  4 Sc 3.21, 6 Sm 3.51-3.53
Sm 0.7489 0.0000 0.7500  4 Sc 3.21, 6 Sm 3.51-3.53
Sm 0.2485 0.5602 0.9230  1 Sc 3.30, 6 Sm 3.44-3.53
Sm 0.2485 0.4398 0.5770  1 Sc 3.30, 6 Sm 3.44-3.53
Sm 0.7515 0.0602 0.0770  1 Sc 3.30, 6 Sm 3.44-3.53
Sm 0.7515 0.9398 0.4230  1 Sc 3.30, 6 Sm 3.44-3.53
Sm 0.2485 0.0602 0.5770  1 Sc 3.30, 6 Sm 3.44-3.53
Sm 0.2485 0.9398 0.9230  1 Sc 3.30, 6 Sm 3.44-3.53
Sm 0.7515 0.5602 0.4230  1 Sc 3.30, 6 Sm 3.44-3.53
Sm 0.7515 0.4398 0.0770  1 Sc 3.30, 6 Sm 3.44-3.53
Ho 0.7471 0.2500 0.8966  2 Sc 3.41-3.42, 2 Ho 3.51, 8 Sm 3.67-3.76
Ho 0.7471 0.7500 0.6034  2 Sc 3.41-3.42, 2 Ho 3.51, 8 Sm 3.67-3.76
Ho 0.2529 0.7500 0.1034  2 Sc 3.41-3.42, 2 Ho 3.51, 8 Sm 3.67-3.76
Ho 0.2529 0.2500 0.3966  2 Sc 3.41-3.42, 2 Ho 3.51, 8 Sm 3.67-3.76
Sc 0.7521 0.2500 0.2275  6 Sm 3.21-3.30, 2 Ho 3.41-3.42, 2 Sc 3.51
Sc 0.7521 0.7500 0.2725  6 Sm 3.21-3.30, 2 Ho 3.41-3.42, 2 Sc 3.51
Sc 0.2479 0.7500 0.7725  6 Sm 3.21-3.30, 2 Ho 3.41-3.42, 2 Sc 3.51
Sc 0.2479 0.2500 0.7275  6 Sm 3.21-3.30, 2 Ho 3.41-3.42, 2 Sc 3.51

Output
**ΔH_f (0 K)**: 77 kJ/mol of formula units
**E above lowest polymorph**: 0.595 eV per formula unit
**Space-group type**: Pbcm (57)


A relaxed structure of EuZn2Sb2. Source: the Alexandria database, functional PBE.

Unit cell a=4.5567 b=4.5567 c=7.4842 alpha=90.00 beta=90.00 gamma=120.00
Closest atoms and distances in Å follow each position.
Positions (direct):
Eu 0.0000 0.0000 0.0000  6 Sb 3.29
Sb 0.6667 0.3333 0.7363  4 Zn 2.73-2.81
Sb 0.3333 0.6667 0.2637  4 Zn 2.73-2.81
Zn 0.3333 0.6667 0.6388  4 Sb 2.73-2.81
Zn 0.6667 0.3333 0.3612  4 Sb 2.73-2.81

Output
**Space-group type**: P-3m1 (164)
**Formation energy (no corrections)**: -2.40 eV/f.u.


no.,DOS at the Fermi energy (states/eV/cell),size of the total moment (μB/atom)
1,9.65,0.10
2,29.74,0.00
3,0.45,1.40